# 1
Compound: La2AlCu3
Source: Alexandria
Functional: PBE
Structure: optimized geometry

Summary:
Mass density = 6.99 g/cm³
Formation energy from the elements = -157 kJ/mol of formula units
N(E_F) = 6.5 states/eV per cell

Cell lengths 5.6459, 5.6459, 8.5295 Å; angles 90.00, 90.00, 120.00 degrees
Space group P6_3/mmc (No. 194)
Inequivalent atoms, fractional coordinates:
La1 0.3333 0.6667 0.0466
Al1 0.0000 0.0000 0.0000
Cu1 0.1583 0.3166 0.7500

# 2
Compound: La2AlCu2
Source: Alexandria
Functional: PBE
Structure: optimized geometry

Summary:
Mass density = 6.32 g/cm³
Formation energy from the elements = -139 kJ/mol of formula units
N(E_F) = 16.4 states/eV per cell

Cell lengths 10.0484, 5.7780, 8.0728 Å; angles 90.00, 104.38, 90.00 degrees
Space group C2/c (No. 15)
Inequivalent atoms, fractional coordinates:
La1 0.1485 0.1475 0.1523
Al1 0.0000 0.3556 0.7500
Cu1 0.1335 0.3641 0.4993

# 3
Compound: LaAlCu
Source: Alexandria
Functional: PBE
Structure: optimized geometry

Summary:
Mass density = 4.60 g/cm³
Formation energy from the elements = 123 kJ/mol of formula units
N(E_F) = 11.8 states/eV per cell

Cell lengths 6.9196, 6.9196, 6.9196 Å; angles 90.00, 90.00, 90.00 degrees
Space group F-43m (No. 216)
Inequivalent atoms, fractional coordinates:
La1 0.0000 0.0000 0.0000
Al1 0.2500 0.2500 0.2500
Cu1 0.2500 0.2500 0.7500

# 4
Compound: La4AlCu
Source: Alexandria
Functional: PBE
Structure: optimized geometry

Summary:
Mass density = 5.76 g/cm³
Formation energy from the elements = -48 kJ/mol of formula units
N(E_F) = 26.6 states/eV per cell

Cell lengths 7.2444, 7.2444, 14.1879 Å; angles 90.00, 90.00, 90.00 degrees
Space group I4/mcm (No. 140)
Inequivalent atoms, fractional coordinates:
La1 0.1768 0.3232 0.1308
Al1 0.0000 0.0000 0.0000
Cu1 0.0000 0.0000 0.2500

# 5
Compound: LaAl6Cu6
Source: Alexandria
Functional: PBE
Structure: optimized geometry

Summary:
Mass density = 5.73 g/cm³
Formation energy from the elements = -423 kJ/mol of formula units
N(E_F) = 6.6 states/eV per cell

Cell lengths 5.1122, 8.7330, 8.8585 Å; angles 90.00, 90.00, 90.00 degrees
Space group Immm (No. 71)
Inequivalent atoms, fractional coordinates:
La1 0.0000 0.0000 0.0000
Al1 0.0000 0.0000 0.3514
Al2 0.0000 0.3487 0.0000
Al3 0.0000 0.5000 0.2896
Cu1 0.0000 0.2653 0.5000
Cu2 0.2500 0.2500 0.2500

# 6
Compound: LaAl11Cu
Source: Alexandria
Functional: PBE
Structure: optimized geometry

Summary:
Mass density = 3.61 g/cm³
Formation energy from the elements = -194 kJ/mol of formula units
N(E_F) = 12.9 states/eV per cell

Cell lengths 5.3210, 12.8355, 7.1229 Å; angles 90.00, 109.33, 90.00 degrees
Space group C2/m (No. 12)
Inequivalent atoms, fractional coordinates:
La1 0.0000 0.0000 0.0000
Al1 0.0000 0.0000 0.5000
Al2 0.1058 0.3909 0.2294
Al3 0.1711 0.1774 0.3559
Al4 0.2500 0.2500 0.0000
Cu1 0.0000 0.5000 0.5000

# 7
Compound: LaAlCu
Source: Alexandria
Functional: PBE
Structure: optimized geometry

Summary:
Mass density = 5.76 g/cm³
Formation energy from the elements = -103 kJ/mol of formula units
N(E_F) = 9.5 states/eV per cell

Cell lengths 5.9997, 6.5020, 7.9282 Å; angles 90.00, 121.23, 90.00 degrees
Space group P2_1/c (No. 14)
Inequivalent atoms, fractional coordinates:
La1 0.2361 0.1460 0.4106
Al1 0.2307 0.6286 0.5583
Cu1 0.3565 0.5868 0.2991

# 8
Compound: La2AlCu
Source: Alexandria
Functional: PBE
Structure: optimized geometry

Summary:
Mass density = 6.14 g/cm³
Formation energy from the elements = -96 kJ/mol of formula units
N(E_F) = 7.1 states/eV per cell

Cell lengths 3.6385, 5.1137, 10.7081 Å; angles 90.00, 90.00, 90.00 degrees
Space group Imm2 (No. 44)
Inequivalent atoms, fractional coordinates:
La1 0.0000 0.0000 0.0000
La2 0.0000 0.5000 0.2087
Al1 0.0000 0.5000 0.7902
Cu1 0.0000 0.0000 0.4517

# 9
Compound: La11Al9Cu4
Source: Alexandria
Functional: PBE
Structure: optimized geometry

Summary:
Mass density = 5.52 g/cm³
Formation energy from the elements = -763 kJ/mol of formula units
N(E_F) = 35.2 states/eV per cell

Cell lengths 14.5354, 21.8414, 3.8344 Å; angles 90.00, 90.00, 90.00 degrees
Space group Cmmm (No. 65)
Inequivalent atoms, fractional coordinates:
La1 0.0000 0.0000 0.0000
La2 0.0000 0.1630 0.0000
La3 0.0000 0.3727 0.0000
La4 0.1922 0.5000 0.0000
La5 0.2335 0.1775 0.0000
Al1 0.0000 0.5000 0.5000
Al2 0.0988 0.2697 0.5000
Al3 0.1523 0.0689 0.5000
Cu1 0.1566 0.3971 0.5000

# 10
Compound: La2AlCu
Source: Alexandria
Functional: PBE
Structure: optimized geometry

Summary:
Mass density = 6.49 g/cm³
Formation energy from the elements = 33 kJ/mol of formula units
N(E_F) = 27.1 states/eV per cell

Cell lengths 7.2255, 7.2255, 7.2255 Å; angles 90.00, 90.00, 90.00 degrees
Space group F-43m (No. 216)
Inequivalent atoms, fractional coordinates:
La1 0.0000 0.0000 0.0000
La2 0.2500 0.2500 0.2500
Al1 0.0000 0.0000 0.5000
Cu1 0.2500 0.2500 0.7500

Q: Which of these has the highest mass density?
A: La2AlCu3